(1)
{
  "formula": "InPb2Au2",
  "functional": "SCAN",
  "state": "single point on PBEsol structure",
  "e_form_mev_per_atom": -59.6,
  "space_group": "P4/mbm",
  "magmom_total_mub_per_atom": 0.00,
  "lattice": [[4.312, 0.000, 0.000], [0.000, 7.405, 0.000], [0.000, 0.000, 7.405]],
  "species": ["Au", "Au", "Au", "Au", "In", "In", "Pb", "Pb", "Pb", "Pb"],
  "frac_coords": [[0.000, 0.636, 0.136], [0.000, 0.864, 0.636], [0.000, 0.136, 0.364], [0.000, 0.364, 0.864], [0.000, 0.000, 0.000], [0.000, 0.500, 0.500], [0.500, 0.166, 0.666], [0.500, 0.334, 0.166], [0.500, 0.666, 0.834], [0.500, 0.834, 0.334]]
}

(2)
{
  "formula": "Be4HgOs",
  "functional": "SCAN",
  "state": "single point on PBEsol structure",
  "e_form_mev_per_atom": 100.9,
  "space_group": "F-43m",
  "magmom_total_mub_per_atom": 0.00,
  "lattice": [[-2.027, -2.634, -3.014], [2.379, -1.849, -3.325], [0.787, -4.417, -0.008]],
  "species": ["Be", "Be", "Be", "Be", "Os", "Hg"],
  "frac_coords": [[0.373, 0.373, 0.882], [0.373, 0.882, 0.373], [0.882, 0.373, 0.373], [0.373, 0.373, 0.373], [0.000, 0.000, 0.000], [0.750, 0.750, 0.750]]
}

(3)
{
  "formula": "Lu2AgHg",
  "functional": "SCAN",
  "state": "single point on PBEsol structure",
  "e_form_mev_per_atom": -563.3,
  "space_group": "Fm-3m",
  "magmom_total_mub_per_atom": 0.00,
  "lattice": [[-4.028, 1.802, -2.354], [-0.535, -0.689, -4.925], [-3.500, -3.131, -1.721]],
  "species": ["Lu", "Lu", "Hg", "Ag"],
  "frac_coords": [[0.750, 0.750, 0.750], [0.250, 0.250, 0.250], [0.000, 0.000, 0.000], [0.500, 0.500, 0.500]]
}

(4)
{
  "formula": "Na2PbO3",
  "functional": "SCAN",
  "state": "single point on PBEsol structure",
  "space_group": "C2/c",
  "magmom_total_mub_per_atom": 0.00,
  "raw_formation_energy_ev_per_atom": -1.42,
  "lattice": [[5.672, 0.002, 0.003], [-1.086, 5.645, 0.002], [-1.086, -2.946, 4.816]],
  "species": ["Na", "Na", "Na", "Na", "O", "O", "O", "O", "O", "O", "Pb", "Pb"],
  "frac_coords": [[0.250, 0.743, 0.257], [0.250, 0.417, 0.583], [0.750, 0.583, 0.417], [0.750, 0.257, 0.743], [0.515, 0.141, 0.289], [0.015, 0.289, 0.141], [0.485, 0.859, 0.711], [0.985, 0.711, 0.859], [0.500, 0.500, 0.000], [0.000, 0.000, 0.500], [0.250, 0.090, 0.910], [0.750, 0.910, 0.090]]
}

(5)
{
  "formula": "SrP2W",
  "functional": "SCAN",
  "state": "single point on PBEsol structure",
  "e_form_mev_per_atom": -21.0,
  "space_group": "P4mm",
  "magmom_total_mub_per_atom": 0.00,
  "lattice": [[3.425, 0.000, 0.000], [0.000, 3.425, 0.000], [0.000, 0.000, 7.313]],
  "species": ["P", "P", "Sr", "W"],
  "frac_coords": [[0.500, 0.500, 0.237], [0.000, 0.000, 0.869], [0.000, 0.000, 0.466], [0.500, 0.500, 0.928]]
}

(6)
{
  "formula": "ScReHg2",
  "functional": "SCAN",
  "state": "single point on PBEsol structure",
  "e_form_mev_per_atom": 182.6,
  "space_group": "Pmmm",
  "magmom_total_mub_per_atom": 0.04,
  "relative_energy_mev_per_atom": 0,
  "lattice": [[-1.210, -2.610, 0.297], [3.703, -1.850, -1.172], [1.671, -0.148, 5.516]],
  "species": ["Sc", "Hg", "Hg", "Re"],
  "frac_coords": [[0.500, 0.500, 0.500], [0.000, 0.000, 0.244], [0.000, 0.000, 0.756], [0.500, 0.500, 0.000]]
}

(7)
{
  "formula": "TlReN2",
  "functional": "SCAN",
  "state": "single point on PBEsol structure",
  "space_group": "I-42d",
  "magmom_total_mub_per_atom": 0.00,
  "relative_energy_mev_per_atom": 0,
  "raw_formation_energy_ev_per_atom": 0.15,
  "lattice": [[-1.326, -2.467, -4.844], [5.644, 2.212, 0.561], [-1.191, -4.733, 2.737]],
  "species": ["Tl", "Tl", "Re", "Re", "N", "N", "N", "N"],
  "frac_coords": [[0.000, 0.000, 0.000], [0.250, 0.500, 0.750], [0.500, 0.000, 0.500], [0.750, 0.500, 0.250], [0.125, 0.750, 0.443], [0.557, 0.250, 0.375], [0.693, 0.250, 0.875], [0.625, 0.750, 0.307]]
}

(8)
{
  "formula": "MnAgW2",
  "functional": "SCAN",
  "state": "single point on PBEsol structure",
  "e_form_mev_per_atom": 563.5,
  "space_group": "R-3m",
  "magmom_total_mub_per_atom": 0.00,
  "lattice": [[-2.707, 0.260, 0.308], [-1.574, -2.229, 0.213], [-0.389, -0.528, 9.184]],
  "species": ["Mn", "W", "W", "Ag"],
  "frac_coords": [[0.000, 0.000, 0.000], [0.742, 0.742, 0.773], [0.258, 0.258, 0.227], [0.500, 0.500, 0.500]]
}

(9)
{
  "formula": "SiMo2P",
  "functional": "SCAN",
  "state": "single point on PBEsol structure",
  "space_group": "P4/mmm",
  "magmom_total_mub_per_atom": 0.00,
  "relative_energy_mev_per_atom": 303,
  "raw_formation_energy_ev_per_atom": -0.14,
  "lattice": [[4.227, 0.000, 0.000], [0.000, 3.018, 0.000], [0.000, 0.000, 4.226]],
  "species": ["Mo", "Mo", "Si", "P"],
  "frac_coords": [[0.000, 0.000, 0.000], [0.500, 0.000, 0.500], [0.000, 0.500, 0.500], [0.500, 0.500, 0.000]]
}

(10)
{
  "formula": "Mg30VFeO32",
  "functional": "SCAN",
  "state": "single point on PBEsol structure",
  "space_group": "P4/mmm",
  "magmom_total_mub_per_atom": 0.05,
  "raw_formation_energy_ev_per_atom": -2.93,
  "lattice": [[8.422, 0.000, 0.000], [0.000, 8.422, 0.000], [0.000, 0.000, 8.423]],
  "species": ["Fe", "Mg", "Mg", "Mg", "Mg", "Mg", "Mg", "Mg", "Mg", "Mg", "Mg", "Mg", "Mg", "Mg", "Mg", "Mg", "Mg", "Mg", "Mg", "Mg", "Mg", "Mg", "Mg", "Mg", "Mg", "Mg", "Mg", "Mg", "Mg", "Mg", "Mg", "O", "O", "O", "O", "O", "O", "O", "O", "O", "O", "O", "O", "O", "O", "O", "O", "O", "O", "O", "O", "O", "O", "O", "O", "O", "O", "O", "O", "O", "O", "O", "O", "V"],
  "frac_coords": [[0.000, 0.000, 0.000], [0.752, 0.000, 0.248], [0.500, 0.250, 0.750], [0.000, 0.248, 0.752], [0.752, 0.248, 0.000], [0.000, 0.500, 0.000], [0.250, 0.500, 0.250], [0.500, 0.250, 0.250], [0.500, 0.000, 0.000], [0.250, 0.250, 0.500], [0.248, 0.000, 0.248], [0.000, 0.752, 0.248], [0.752, 0.752, 0.000], [0.750, 0.500, 0.250], [0.000, 0.752, 0.752], [0.500, 0.750, 0.750], [0.500, 0.500, 0.000], [0.500, 0.500, 0.500], [0.750, 0.500, 0.750], [0.000, 0.500, 0.500], [0.248, 0.000, 0.752], [0.750, 0.250, 0.500], [0.752, 0.000, 0.752], [0.000, 0.248, 0.248], [0.248, 0.752, 0.000], [0.500, 0.750, 0.250], [0.250, 0.750, 0.500], [0.500, 0.000, 0.500], [0.250, 0.500, 0.750], [0.248, 0.248, 0.000], [0.750, 0.750, 0.500], [0.000, 0.500, 0.249], [0.000, 0.247, 0.000], [0.500, 0.000, 0.249], [0.751, 0.500, 0.000], [0.247, 0.000, 0.000], [0.500, 0.000, 0.751], [0.753, 0.000, 0.000], [0.250, 0.250, 0.750], [0.000, 0.000, 0.249], [0.500, 0.250, 0.500], [0.500, 0.751, 0.000], [0.500, 0.500, 0.750], [0.250, 0.750, 0.750], [0.500, 0.500, 0.250], [0.000, 0.753, 0.000], [0.249, 0.500, 0.000], [0.500, 0.249, 0.000], [0.250, 0.750, 0.250], [0.000, 0.500, 0.751], [0.750, 0.750, 0.750], [0.250, 0.250, 0.250], [0.000, 0.748, 0.500], [0.252, 0.000, 0.500], [0.748, 0.000, 0.500], [0.750, 0.750, 0.250], [0.250, 0.500, 0.500], [0.750, 0.500, 0.500], [0.750, 0.250, 0.250], [0.000, 0.000, 0.751], [0.500, 0.750, 0.500], [0.000, 0.252, 0.500], [0.750, 0.250, 0.750], [0.000, 0.000, 0.500]]
}

(11)
{
  "formula": "AlPCl2",
  "functional": "SCAN",
  "state": "single point on PBEsol structure",
  "space_group": "Fmmm",
  "magmom_total_mub_per_atom": 0.00,
  "relative_energy_mev_per_atom": 405,
  "raw_formation_energy_ev_per_atom": 0.05,
  "lattice": [[-1.927, 2.796, 2.520], [2.195, -1.701, 3.189], [2.948, 2.179, -3.522]],
  "species": ["P", "Al", "Cl", "Cl"],
  "frac_coords": [[0.500, 0.500, 0.000], [0.000, 0.000, 0.000], [0.000, 0.500, 0.500], [0.500, 0.000, 0.500]]
}

(12)
{
  "formula": "CdBi3As",
  "functional": "SCAN",
  "state": "single point on PBEsol structure",
  "e_form_mev_per_atom": 653.9,
  "space_group": "Pm-3m",
  "magmom_total_mub_per_atom": 0.00,
  "lattice": [[-1.146, 2.086, -4.962], [-4.729, -2.814, -0.091], [-2.571, 4.245, 2.378]],
  "species": ["As", "Cd", "Bi", "Bi", "Bi"],
  "frac_coords": [[0.000, 0.000, 0.000], [0.500, 0.500, 0.500], [0.000, 0.000, 0.500], [0.000, 0.500, 0.000], [0.500, 0.000, 0.000]]
}